The following is a GGA+U calculation of a relaxed Ba2CoCu2O6 crystal, from Alexandria.

Output
**DFT total energy**: -61.40 eV for the cell shown
**Total magnetic moment**: 3.0 μB/cell

Lattice parameters (Å, degrees): 5.768 5.768 6.317 62.84 62.84 60.00
Fractional positions:
Ba (0.221, 0.221, 0.336)
O (0.227, 0.227, 0.770)
O (0.777, 0.227, 0.770)
O (0.773, 0.773, 0.230)
Cu (0.591, 0.591, 0.227)
O (0.223, 0.773, 0.230)
O (0.227, 0.777, 0.770)
O (0.773, 0.223, 0.230)
Co (0.000, 0.000, 0.000)
Ba (0.779, 0.779, 0.664)
Cu (0.409, 0.409, 0.773)